Material: DyIn2Te4Pb
Method: DFT, PBE
State: relaxed

Cell: 7.955 4.444 8.046 Å, 90.00 108.70 90.00°
Space group P2/m (No. 10)
One atom of each set of equivalent atoms:
Dy 0.000 0.000 0.000 (multiplicity 1)
In 0.000 0.500 0.500 (multiplicity 1)
In 0.500 0.000 0.500 (multiplicity 1)
Te 0.229 0.500 0.233 (multiplicity 2)
Te 0.232 0.000 0.754 (multiplicity 2)
Pb 0.500 0.500 0.000 (multiplicity 1)

DOS at the Fermi energy (states/eV per cell): 3.588
V (Å³/atom): 33.68
Uncorrected formation energy (eV per formula unit): -5.05
VASP energy (eV/atom): -3.926

=====

Material: MgTa3Sb
Method: DFT, PBE
State: relaxed

Cell: 5.045 5.045 5.045 Å, 90.00 90.00 90.00°
Space group Pm-3m (No. 221)
One atom of each set of equivalent atoms:
Mg 0.000 0.000 0.000 (multiplicity 1)
Ta 0.000 0.500 0.500 (multiplicity 3)
Sb 0.500 0.500 0.500 (multiplicity 1)

Energy above the lowest structure with this stoichiometry (eV/f.u.): 0.00
DOS at the Fermi energy (states/eV per cell): 7.619
V (Å³/atom): 25.69
Uncorrected formation energy (eV per formula unit): 8.34
VASP energy (eV/atom): -6.587

=====

Material: Pr2P2Rh
Method: DFT, PBE
State: relaxed

Cell: 10.928 4.120 10.506 Å, 90.00 112.49 90.00°
Space group C2/m (No. 12)
One atom of each set of equivalent atoms:
Pr 0.089 0.000 0.397 (multiplicity 4)
Pr 0.199 0.500 0.141 (multiplicity 4)
P 0.044 0.000 0.915 (multiplicity 4)
P 0.157 0.500 0.638 (multiplicity 4)
Rh 0.066 0.500 0.818 (multiplicity 4)

DOS at the Fermi energy (states/eV per cell): 10.758
V (Å³/atom): 21.85
Energy relative to the elements (eV/f.u.): -6.0
VASP energy (eV/atom): -6.750

=====

Which total moment belongs to each record? In order, 0.0, 0.0, 0.0 μB/f.u..